# 1
# LiLaAu2I

Crystalline LiLaAu2I at its relaxed geometry (PBE, Alexandria).

Output
The formation energy from raw total energies comes out at -0.289 eV per atom. The uncorrected energy comes out at -3.2787 eV per atom. Its crystal system is tetragonal. The value obtained for the total moment is 0.000 μB/atom.

Geometry as POSCAR:
```
LiLaAu2I
1.0
-0.046 -1.874 -4.285
5.750 -1.046 0.396
-0.892 -4.203 1.848
I Li Au La
1 1 2 1
Direct
0.500 0.500 0.500
0.000 0.000 0.000
0.000 0.000 0.500
0.500 0.000 0.000
0.000 0.500 0.000
```

***

# 2
# LaAuIN2

Crystalline LaAuIN2 at its relaxed geometry (PBE, Alexandria).

Output
The formation energy from raw total energies comes out at 0.734 eV per atom. The uncorrected energy comes out at -4.5475 eV per atom. Its crystal system is tetragonal. The polymorph energy (0 for the lowest one) comes out at 0.000 eV/atom. The value obtained for the total moment is 0.055 μB/atom.

Geometry as POSCAR:
```
LaAuIN2
1.0
-3.941 1.503 0.578
-1.187 -1.679 -3.728
-1.850 -6.138 3.353
I N Au La
1 2 1 1
Direct
0.000 0.000 0.500
0.000 0.500 0.000
0.500 0.000 0.000
0.500 0.500 0.500
0.000 0.000 0.000
```

***

# 3
# LaAuIN2

Crystalline LaAuIN2 at its relaxed geometry (PBE, Alexandria).

Output
The formation energy from raw total energies comes out at 0.973 eV per atom. The uncorrected energy comes out at -4.3081 eV per atom. Its crystal system is tetragonal. The polymorph energy (0 for the lowest one) comes out at 0.239 eV/atom. The value obtained for the total moment is 0.205 μB/atom.

Geometry as POSCAR:
```
LaAuIN2
1.0
4.458 0.000 0.000
0.000 4.458 0.000
0.000 0.000 5.227
I N Au La
1 2 1 1
Direct
0.000 0.000 0.500
0.000 0.500 0.000
0.500 0.000 0.000
0.000 0.000 0.000
0.500 0.500 0.500
```

***

# 4
# Na2LaAuI

Crystalline Na2LaAuI at its relaxed geometry (PBE, Alexandria).

Output
The formation energy from raw total energies comes out at -0.019 eV per atom. The uncorrected energy comes out at -2.4971 eV per atom. Its crystal system is tetragonal. The value obtained for the total moment is 0.000 μB/atom.

Geometry as POSCAR:
```
Na2LaAuI
1.0
5.424 0.000 0.000
0.000 6.281 0.000
0.000 0.000 5.424
I Na Au La
1 2 1 1
Direct
0.000 0.000 0.000
0.000 0.000 0.500
0.500 0.000 0.000
0.500 0.500 0.500
0.000 0.500 0.000
```

***

# 5
# La8Ni3AuI4

Crystalline La8Ni3AuI4 at its relaxed geometry (PBE, Alexandria).

Output
The formation energy from raw total energies comes out at -0.772 eV per atom. The uncorrected energy comes out at -4.9120 eV per atom. Its crystal system is monoclinic. The value obtained for the total moment is 0.000 μB/atom.

Geometry as POSCAR:
```
La8Ni3AuI4
1.0
-1.356 6.564 5.226
-6.539 -5.150 4.772
7.892 -3.359 -0.645
La Ni Au I
8 3 1 4
Direct
0.239 0.687 0.953
0.237 0.686 0.474
0.269 0.313 0.539
0.714 0.687 0.953
0.286 0.313 0.047
0.731 0.687 0.461
0.763 0.314 0.526
0.761 0.313 0.047
0.500 0.500 0.000
0.500 0.500 0.500
0.000 0.500 0.500
0.000 0.500 0.000
0.500 0.000 0.000
0.500 0.000 0.500
0.000 0.000 0.000
0.000 0.000 0.500
```

***

# 6
# La4NiAuI2

Crystalline La4NiAuI2 at its relaxed geometry (PBE, Alexandria).

Output
The formation energy from raw total energies comes out at -0.816 eV per atom. The uncorrected energy comes out at -4.7992 eV per atom. Its crystal system is monoclinic. The value obtained for the total moment is 0.000 μB/atom.

Geometry as POSCAR:
```
La4NiAuI2
1.0
-3.947 1.959 -0.979
1.439 -1.204 -8.211
-2.816 -6.515 -1.685
La Ni Au I
4 1 1 2
Direct
0.000 0.690 0.734
0.000 0.310 0.266
0.500 0.694 0.269
0.500 0.306 0.731
0.000 0.500 0.500
0.500 0.500 0.000
0.000 0.000 0.000
0.500 0.000 0.500
```